(1)
This record from Alexandria via LeMat-Bulk describes a geometry-optimized CuRe2Tc structure. The functional is PBE-GGA.

```
CuRe2Tc
1.0
3.934 0.000 0.000
0.000 2.718 0.018
0.000 2.656 5.344
Cu Re Tc
1 2 1
Direct
0.500 0.750 0.750 Cu
0.000 0.998 0.996 Re
0.000 0.502 0.504 Re
0.500 0.250 0.250 Tc
```

Formation enthalpy at 0 K   202 meV per atom
Polymorph energy (0 for the lowest one)   44.5 meV/atom
Energy   -9.638 eV per atom
SG   P2/m, No. 10

(2)
This record from Alexandria via LeMat-Bulk describes a geometry-optimized CuRe2Tc structure. The functional is PBE-GGA.

```
CuRe2Tc
1.0
-1.259 -1.406 -3.897
0.591 -4.145 -1.101
-3.403 -2.654 -0.349
Cu Re Tc
1 2 1
Direct
0.000 0.000 0.000 Cu
0.250 0.250 0.250 Re
0.750 0.750 0.750 Re
0.500 0.500 0.500 Tc
```

Formation enthalpy at 0 K   422 meV per atom
Polymorph energy (0 for the lowest one)   265.2 meV/atom
Energy   -9.417 eV per atom
SG   Fm-3m, No. 225

(3)
This record from Alexandria via LeMat-Bulk describes a geometry-optimized CuRe2Tc structure. The functional is PBE-GGA.

```
CuRe2Tc
1.0
-4.669 0.119 -0.509
-1.042 -0.049 -4.581
2.781 -2.761 2.592
Cu Re Tc
1 2 1
Direct
0.750 0.250 0.500 Cu
0.000 0.000 0.000 Re
0.250 0.750 0.500 Re
0.500 0.500 0.000 Tc
```

Formation enthalpy at 0 K   230 meV per atom
Polymorph energy (0 for the lowest one)   73.0 meV/atom
Energy   -9.609 eV per atom
SG   I-4m2, No. 119

(4)
This record from Alexandria via LeMat-Bulk describes a geometry-optimized CuRe2Tc structure. The functional is PBE-GGA.

```
CuRe2Tc
1.0
-1.307 2.379 -0.473
-2.238 -1.390 -0.807
-2.558 0.003 7.086
Cu Re Tc
1 2 1
Direct
0.500 0.500 0.750 Cu
0.000 0.000 0.995 Re
0.500 0.500 0.252 Re
0.000 0.000 0.503 Tc
```

Formation enthalpy at 0 K   221 meV per atom
Polymorph energy (0 for the lowest one)   63.4 meV/atom
Energy   -9.619 eV per atom
SG   P4mm, No. 99

(5)
This record from Alexandria via LeMat-Bulk describes a geometry-optimized CuReTc3 structure. The functional is PBE-GGA.

```
CuReTc3
1.0
-2.808 0.770 3.241
2.729 -1.898 2.816
1.910 3.845 0.741
Re Tc Cu
1 3 1
Direct
0.500 0.500 0.500 Re
0.000 0.500 0.000 Tc
0.000 0.000 0.500 Tc
0.500 0.000 0.000 Tc
0.000 0.000 0.000 Cu
```

Formation enthalpy at 0 K   1798 meV per atom
Polymorph energy (0 for the lowest one)   0.0 meV/atom
Energy   -7.730 eV per atom
SG   Pm-3m, No. 221

(6)
This record from Alexandria via LeMat-Bulk describes a geometry-optimized Cu2ReTc structure. The functional is PBE-GGA.

```
Cu2ReTc
1.0
4.229 0.000 0.000
0.000 2.607 -0.003
0.000 0.759 4.935
Cu Re Tc
2 1 1
Direct
0.000 0.159 0.010 Cu
0.500 0.092 0.241 Cu
0.000 0.522 0.498 Re
0.500 0.726 0.750 Tc
```

Formation enthalpy at 0 K   217 meV per atom
Polymorph energy (0 for the lowest one)   76.9 meV/atom
Energy   -7.534 eV per atom
SG   Pm, No. 6

(7)
This record from Alexandria via LeMat-Bulk describes a geometry-optimized CuRe2Tc structure. The functional is PBE-GGA.

```
CuRe2Tc
1.0
-2.832 2.232 -1.555
-1.624 -2.171 -0.160
-3.483 -1.118 4.738
Cu Re Tc
1 2 1
Direct
0.500 0.751 0.749 Cu
0.000 0.999 0.994 Re
0.500 0.252 0.250 Re
0.000 0.499 0.507 Tc
```

Formation enthalpy at 0 K   186 meV per atom
Polymorph energy (0 for the lowest one)   29.2 meV/atom
Energy   -9.653 eV per atom
SG   Pm, No. 6

(8)
This record from Alexandria via LeMat-Bulk describes a geometry-optimized CuRe2Tc structure. The functional is PBE-GGA.

```
CuRe2Tc
1.0
-5.204 -6.155 4.073
-3.426 -5.705 6.104
-5.599 -4.069 5.800
Cu Re Tc
1 2 1
Direct
0.750 0.750 0.750 Cu
0.000 0.000 0.000 Re
0.500 0.500 0.500 Re
0.250 0.250 0.250 Tc
```

Formation enthalpy at 0 K   162 meV per atom
Polymorph energy (0 for the lowest one)   5.0 meV/atom
Energy   -9.677 eV per atom
SG   R-3m, No. 166

(9)
This record from Alexandria via LeMat-Bulk describes a geometry-optimized Cu2ReTc structure. The functional is PBE-GGA.

```
Cu2ReTc
1.0
-1.051 3.873 -2.707
-3.776 -2.859 1.002
-0.467 1.347 2.101
Cu Re Tc
2 1 1
Direct
0.000 0.000 0.000 Cu
0.500 0.500 0.000 Cu
0.500 0.000 0.500 Re
0.000 0.500 0.500 Tc
```

Formation enthalpy at 0 K   317 meV per atom
Polymorph energy (0 for the lowest one)   176.9 meV/atom
Energy   -7.435 eV per atom
SG   C2/m, No. 12

(10)
This record from Alexandria via LeMat-Bulk describes a geometry-optimized CuRe2Tc structure. The functional is PBE-GGA.

```
CuRe2Tc
1.0
-2.397 -2.879 -2.932
-1.166 -4.486 -1.073
-4.027 -0.385 2.331
Cu Re Tc
1 2 1
Direct
0.750 0.750 0.750 Cu
0.995 0.995 0.005 Re
0.249 0.249 0.251 Re
0.506 0.506 0.493 Tc
```

Formation enthalpy at 0 K   226 meV per atom
Polymorph energy (0 for the lowest one)   69.4 meV/atom
Energy   -9.613 eV per atom
SG   Cm, No. 8

(11)
This record from Alexandria via LeMat-Bulk describes a geometry-optimized CuRe2Tc2 structure. The functional is PBE-GGA.

```
CuRe2Tc2
1.0
-2.860 -3.983 5.737
3.580 -6.159 -2.492
2.201 0.652 1.550
Re Tc Cu
4 4 2
Direct
0.370 0.870 0.000 Re
0.870 0.630 0.000 Re
0.630 0.130 0.000 Re
0.130 0.370 0.000 Re
0.164 0.664 0.500 Tc
0.664 0.836 0.500 Tc
0.836 0.336 0.500 Tc
0.336 0.164 0.500 Tc
0.000 0.000 0.000 Cu
0.500 0.500 0.000 Cu
```

Formation enthalpy at 0 K   361 meV per atom
Energy   -9.584 eV per atom
SG   P4/mbm, No. 127

(12)
This record from Alexandria via LeMat-Bulk describes a geometry-optimized Cu2ReTc structure. The functional is PBE-GGA.

```
Cu2ReTc
1.0
2.696 0.000 0.000
0.000 3.825 0.000
0.000 0.000 5.292
Cu Re Tc
2 1 1
Direct
0.000 0.000 0.017 Cu
0.500 0.500 0.234 Cu
0.000 0.000 0.510 Re
0.500 0.500 0.739 Tc
```

Formation enthalpy at 0 K   219 meV per atom
Polymorph energy (0 for the lowest one)   78.5 meV/atom
Energy   -7.533 eV per atom
SG   Pmm2, No. 25

(13)
This record from Alexandria via LeMat-Bulk describes a geometry-optimized Cu2ReTc structure. The functional is PBE-GGA.

```
Cu2ReTc
1.0
4.546 0.000 0.000
0.000 4.546 0.000
0.000 0.000 2.596
Cu Re Tc
2 1 1
Direct
0.000 0.000 0.000 Cu
0.500 0.500 0.000 Cu
0.500 0.000 0.500 Re
0.000 0.500 0.500 Tc
```

Formation enthalpy at 0 K   456 meV per atom
Polymorph energy (0 for the lowest one)   315.8 meV/atom
Energy   -7.296 eV per atom
SG   P4/mmm, No. 123

(14)
This record from Alexandria via LeMat-Bulk describes a geometry-optimized CuRe2Tc structure. The functional is PBE-GGA.

```
CuRe2Tc
1.0
4.747 -0.006 0.000
1.679 4.440 0.000
-3.213 -2.217 2.701
Cu Re Tc
1 2 1
Direct
0.750 0.250 0.500 Cu
0.000 0.000 0.000 Re
0.500 0.500 0.000 Re
0.250 0.750 0.500 Tc
```

Formation enthalpy at 0 K   256 meV per atom
Polymorph energy (0 for the lowest one)   98.5 meV/atom
Energy   -9.584 eV per atom
SG   I4/mmm, No. 139

(15)
This record from Alexandria via LeMat-Bulk describes a geometry-optimized CuRe4Tc structure. The functional is PBE-GGA.

```
CuRe4Tc
1.0
2.831 0.085 4.267
-2.041 1.658 4.395
-0.970 -3.313 3.784
Cu Re Tc
1 4 1
Direct
0.000 0.000 0.000 Cu
0.878 0.374 0.374 Re
0.374 0.374 0.878 Re
0.374 0.878 0.374 Re
0.374 0.374 0.374 Re
0.750 0.750 0.750 Tc
```

Formation enthalpy at 0 K   512 meV per atom
Energy   -10.197 eV per atom
SG   F-43m, No. 216

(16)
This record from Alexandria via LeMat-Bulk describes a geometry-optimized Cu2ReTe structure. The functional is PBE-GGA.

```
Cu2ReTe
1.0
9.051 0.022 0.013
8.566 2.925 0.013
8.566 1.433 2.550
Cu Re Te
2 1 1
Direct
0.008 0.008 0.008 Cu
0.492 0.492 0.492 Cu
0.750 0.750 0.750 Re
0.250 0.250 0.250 Te
```

Raw formation energy   253 kJ/mol of formula units
Energy   -5.289 eV per atom
SG   R-3m, No. 166

(17)
This record from Alexandria via LeMat-Bulk describes a geometry-optimized CuReTe2 structure. The functional is PBE-GGA.

```
CuReTe2
1.0
4.065 -0.013 -0.878
2.676 3.060 -0.878
-0.597 -0.270 8.256
Cu Re Te
1 1 2
Direct
0.750 0.750 0.750 Cu
0.250 0.250 0.250 Re
0.891 0.891 0.064 Te
0.609 0.609 0.436 Te
```

Raw formation energy   155 kJ/mol of formula units
Polymorph energy (0 for the lowest one)   122.7 meV/atom
Energy   -5.304 eV per atom
SG   C2/m, No. 12

(18)
This record from Alexandria via LeMat-Bulk describes a geometry-optimized CuReTe2 structure. The functional is PBE-GGA.

```
CuReTe2
1.0
-4.102 -1.181 2.035
-3.996 2.167 -1.304
-3.271 -2.359 -2.470
Re Te Cu
1 2 1
Direct
0.500 0.500 0.500 Re
0.250 0.250 0.250 Te
0.750 0.750 0.750 Te
0.000 0.000 0.000 Cu
```

Raw formation energy   224 kJ/mol of formula units
Polymorph energy (0 for the lowest one)   299.3 meV/atom
Energy   -5.128 eV per atom
SG   Fm-3m, No. 225

(19)
This record from Alexandria via LeMat-Bulk describes a geometry-optimized CuReTe2 structure. The functional is PBE-GGA.

```
CuReTe2
1.0
4.765 -0.039 0.018
-0.501 4.739 0.018
-0.010 -0.011 3.381
Cu Re Te
1 1 2
Direct
0.500 0.000 0.500 Cu
0.000 0.500 0.500 Re
0.000 0.000 0.000 Te
0.500 0.500 0.000 Te
```

Raw formation energy   299 kJ/mol of formula units
Polymorph energy (0 for the lowest one)   495.8 meV/atom
Energy   -4.931 eV per atom
SG   Cmmm, No. 65

(20)
This record from Alexandria via LeMat-Bulk describes a geometry-optimized CuReTe2 structure. The functional is PBE-GGA.

```
CuReTe2
1.0
-1.550 -0.486 2.843
2.815 -0.959 1.370
1.380 6.787 1.913
Cu Re Te
1 1 2
Direct
0.500 0.500 0.250 Cu
0.500 0.500 0.750 Re
0.000 0.000 0.987 Te
0.000 0.000 0.513 Te
```

Raw formation energy   220 kJ/mol of formula units
Polymorph energy (0 for the lowest one)   289.2 meV/atom
Energy   -5.138 eV per atom
SG   P4/mmm, No. 123

(21)
This record from Alexandria via LeMat-Bulk describes a geometry-optimized Cu2ReTe structure. The functional is PBE-GGA.

```
Cu2ReTe
1.0
6.047 0.069 0.220
-2.316 4.149 -0.011
1.415 0.797 2.557
Cu Re Te
2 1 1
Direct
0.000 0.000 0.000 Cu
0.500 0.000 0.500 Cu
0.000 0.500 0.500 Re
0.500 0.500 0.000 Te
```

Raw formation energy   253 kJ/mol of formula units
Energy   -5.289 eV per atom
SG   Cmmm, No. 65

(22)
This record from Alexandria via LeMat-Bulk describes a geometry-optimized CuReTe2 structure. The functional is PBE-GGA.

```
CuReTe2
1.0
3.824 0.000 0.000
0.000 3.676 -0.014
0.000 0.030 6.775
Cu Re Te
1 1 2
Direct
0.000 0.375 0.618 Cu
0.500 0.875 0.630 Re
0.000 0.875 0.908 Te
0.500 0.375 0.343 Te
```

Raw formation energy   108 kJ/mol of formula units
Polymorph energy (0 for the lowest one)   0.0 meV/atom
Energy   -5.427 eV per atom
SG   Pmm2, No. 25

(23)
This record from Alexandria via LeMat-Bulk describes a geometry-optimized CuReTe2 structure. The functional is PBE-GGA.

```
CuReTe2
1.0
8.026 -0.003 -0.002
7.283 3.372 -0.002
7.283 1.603 2.967
Cu Re Te
1 1 2
Direct
0.250 0.250 0.250 Cu
0.750 0.750 0.750 Re
0.001 0.001 0.001 Te
0.499 0.499 0.499 Te
```

Raw formation energy   176 kJ/mol of formula units
Polymorph energy (0 for the lowest one)   176.9 meV/atom
Energy   -5.250 eV per atom
SG   R-3m, No. 166

(24)
This record from Alexandria via LeMat-Bulk describes a geometry-optimized CuReTe2 structure. The functional is PBE-GGA.

```
CuReTe2
1.0
7.676 0.744 -0.281
5.782 5.103 0.281
-6.592 -3.239 2.368
Cu Re Te
1 1 2
Direct
0.456 0.456 0.000 Cu
0.198 0.698 0.500 Re
0.053 0.053 0.000 Te
0.793 0.293 0.500 Te
```

Raw formation energy   192 kJ/mol of formula units
Polymorph energy (0 for the lowest one)   217.3 meV/atom
Energy   -5.210 eV per atom
SG   Imm2, No. 44

(25)
This record from Alexandria via LeMat-Bulk describes a geometry-optimized Cu2ReTe structure. The functional is PBE-GGA.

```
Cu2ReTe
1.0
-3.221 0.545 3.154
-1.954 -0.371 -1.932
1.019 -4.980 1.901
Cu Re Te
2 1 1
Direct
0.000 0.954 0.030 Cu
0.500 0.073 0.272 Cu
0.000 0.666 0.457 Re
0.500 0.807 0.741 Te
```

Raw formation energy   220 kJ/mol of formula units
Energy   -5.376 eV per atom
SG   Pm, No. 6

(26)
This record from Alexandria via LeMat-Bulk describes a geometry-optimized Cu2ReTe structure. The functional is PBE-GGA.

```
Cu2ReTe
1.0
-4.335 0.500 -6.995
-6.603 0.218 -4.931
-5.372 2.983 -5.497
Cu Re Te
2 1 1
Direct
0.009 0.009 0.009 Cu
0.748 0.748 0.748 Cu
0.496 0.496 0.496 Re
0.247 0.247 0.247 Te
```

Raw formation energy   242 kJ/mol of formula units
Energy   -5.319 eV per atom
SG   R3m, No. 160

(27)
This record from Alexandria via LeMat-Bulk describes a geometry-optimized Cu2ReTe structure. The functional is PBE-GGA.

```
Cu2ReTe
1.0
3.314 0.000 0.000
0.000 3.314 0.000
0.000 0.000 5.701
Cu Re Te
2 1 1
Direct
0.000 0.000 0.041 Cu
0.500 0.500 0.228 Cu
0.000 0.000 0.496 Re
0.500 0.500 0.736 Te
```

Raw formation energy   163 kJ/mol of formula units
Energy   -5.524 eV per atom
SG   P4mm, No. 99

(28)
This record from Alexandria via LeMat-Bulk describes a geometry-optimized CuReTe2 structure. The functional is PBE-GGA.

```
CuReTe2
1.0
4.518 -7.133 3.153
3.808 -8.169 0.047
6.485 -6.231 0.596
Re Te Cu
1 2 1
Direct
0.000 0.000 0.000 Re
0.903 0.903 0.903 Te
0.097 0.097 0.097 Te
0.500 0.500 0.500 Cu
```

Raw formation energy   352 kJ/mol of formula units
Polymorph energy (0 for the lowest one)   631.3 meV/atom
Energy   -4.796 eV per atom
SG   R-3m, No. 166

(29)
This record from Alexandria via LeMat-Bulk describes a geometry-optimized CuReTe2 structure. The functional is PBE-GGA.

```
CuReTe2
1.0
5.933 0.000 0.000
0.000 5.933 0.000
2.967 2.967 6.050
Re Te Cu
2 4 2
Direct
0.000 0.000 0.000 Re
0.750 0.250 0.500 Re
0.627 0.125 0.250 Te
0.123 0.625 0.250 Te
0.375 0.373 0.750 Te
0.875 0.877 0.750 Te
0.500 0.500 0.000 Cu
0.250 0.750 0.500 Cu
```

Raw formation energy   190 kJ/mol of formula units
Polymorph energy (0 for the lowest one)   212.6 meV/atom
Energy   -5.214 eV per atom
SG   I-42d, No. 122

(30)
This record from Alexandria via LeMat-Bulk describes a geometry-optimized CuReTe2 structure. The functional is PBE-GGA.

```
CuReTe2
1.0
3.213 -0.007 0.000
-1.443 2.870 0.000
0.000 0.000 8.737
Cu Re Te
1 1 2
Direct
0.500 0.500 0.250 Cu
0.500 0.500 0.750 Re
0.000 0.000 0.998 Te
0.000 0.000 0.502 Te
```

Raw formation energy   326 kJ/mol of formula units
Polymorph energy (0 for the lowest one)   564.3 meV/atom
Energy   -4.863 eV per atom
SG   Cmmm, No. 65

no.,spin magnetization (Bohr magnetons per cell)
1,0.000
2,0.000
3,0.000
4,0.000
5,0.000
6,0.000
7,0.000
8,0.000
9,0.000
10,0.000
11,0.000
12,0.000
13,0.000
14,0.000
15,0.000
16,0.000
17,0.000
18,0.000
19,0.000
20,0.000
21,0.000
22,0.000
23,0.000
24,0.000
25,0.000
26,0.000
27,0.000
28,0.000
29,0.000
30,0.000